# PtWBr2 (PBEsol, relaxed)
data_PtWBr2
_cell_length_a 3.058
_cell_length_b 3.058
_cell_length_c 8.997
_cell_angle_alpha 80.22
_cell_angle_beta 80.22
_cell_angle_gamma 60.00
_symmetry_space_group_name_H-M 'P 1'
_symmetry_Int_Tables_number 1
loop_
_symmetry_equiv_pos_as_xyz
'x,y,z'
loop_
_atom_site_label
_atom_site_type_symbol
_atom_site_fract_x
_atom_site_fract_y
_atom_site_fract_z
Br1 Br 0.261 0.261 0.217
Br2 Br 0.739 0.739 0.783
W1 W 0.000 0.000 0.000
Pt1 Pt 0.500 0.500 0.500
# - ΔE_f (raw) (eV per atom) = 0.59
# - energy relative to the lowest polymorph listed for this composition (meV per atom) = 0